# 1
Density functional theory data (PBE) for an optimized crystal structure of BaNaPd2.

- energy relative to the lowest polymorph listed for this composition (meV/atom) = 0
- formation enthalpy at 0 K (kJ/mol of atoms) = -13.55
- electronic total energy (eV per atom) = -3.5473
- V (Å³ per cell) = 406.6
- theoretical density (g cm⁻³) = 6.096

Cell: 7.408 7.408 7.408 Å, 90.00 90.00 90.00°
Space group Fm-3m (No. 225)
One atom of each set of equivalent atoms:
1 Ba 0.000 0.000 0.000 [4 per cell]
2 Na 0.000 0.000 0.500 [4 per cell]
3 Pd 0.250 0.250 0.250 [8 per cell]

# 2
Density functional theory data (PBE) for an optimized crystal structure of La5AlSi2.

- ΔE_f (raw) (eV per atom) = -0.51
- electronic total energy (eV per atom) = -5.4104
- V (Å³ per cell) = 930.4
- theoretical density (g cm⁻³) = 5.552

Cell: 8.050 8.050 14.359 Å, 90.00 90.00 90.00°
Space group I4/mcm (No. 140)
One atom of each set of equivalent atoms:
1 La 0.000 0.000 0.000 [4 per cell]
2 La 0.180 0.320 0.143 [16 per cell]
3 Al 0.000 0.000 0.250 [4 per cell]
4 Si 0.112 0.388 0.500 [8 per cell]

# 3
Density functional theory data (PBE) for an optimized crystal structure of KInAs2.

- formation enthalpy at 0 K (kJ/mol of atoms) = 8.06
- electronic total energy (eV per atom) = -3.2002
- V (Å³ per cell) = 198.3
- theoretical density (g cm⁻³) = 5.088

Cell: 4.589 4.665 9.261 Å, 90.00 90.00 90.00°
Space group Immm (No. 71)
One atom of each set of equivalent atoms:
1 K 0.000 0.000 0.000 [2 per cell]
2 In 0.000 0.000 0.500 [2 per cell]
3 As 0.000 0.500 0.249 [4 per cell]

# 4
Density functional theory data (PBE) for an optimized crystal structure of Dy6Ho3Tm.

- energy relative to the lowest polymorph listed for this composition (meV/atom) = 0
- formation enthalpy at 0 K (kJ/mol of atoms) = 12.01
- electronic total energy (eV per atom) = -4.4573
- V (Å³ per cell) = 1255.0
- theoretical density (g cm⁻³) = 8.673

Cell: 9.562 20.803 6.309 Å, 90.00 90.00 90.00°
Space group Cmc2_1 (No. 36)
One atom of each set of equivalent atoms:
1 Dy 0.000 0.015 0.000 [4 per cell]
2 Dy 0.000 0.301 0.034 [4 per cell]
3 Dy 0.176 0.281 0.495 [8 per cell]
4 Dy 0.182 0.440 0.255 [8 per cell]
5 Ho 0.000 0.420 0.731 [4 per cell]
6 Ho 0.168 0.127 0.332 [8 per cell]
7 Tm 0.000 0.161 0.805 [4 per cell]

# 5
Density functional theory data (PBE) for an optimized crystal structure of Ba3CdH.

- energy relative to the lowest polymorph listed for this composition (meV/atom) = 70
- electronic total energy (eV per atom) = -2.1993
- V (Å³ per cell) = 184.2
- theoretical density (g cm⁻³) = 4.736

Cell: 5.690 5.690 5.690 Å, 90.00 90.00 90.00°
Space group Pm-3m (No. 221)
One atom of each set of equivalent atoms:
1 Ba 0.000 0.000 0.500 [3 per cell]
2 Cd 0.500 0.500 0.500 [1 per cell]
3 H 0.000 0.000 0.000 [1 per cell]

# 6
Density functional theory data (PBE) for an optimized crystal structure of AcMnCuSb.

- ΔE_f (raw) (eV per atom) = 0.05
- electronic total energy (eV per atom) = -5.3220
- V (Å³ per cell) = 358.5
- theoretical density (g cm⁻³) = 8.657

Cell: 7.104 7.104 7.104 Å, 90.00 90.00 90.00°
Space group F-43m (No. 216)
One atom of each set of equivalent atoms:
1 Ac 0.000 0.000 0.000 [4 per cell]
2 Mn 0.250 0.250 0.250 [4 per cell]
3 Cu 0.250 0.250 0.750 [4 per cell]
4 Sb 0.000 0.000 0.500 [4 per cell]